Entry 1:
This record from the Alexandria database describes Ba3CoI at its PBEsol-relaxed geometry. The functional is meta-GGA SCAN.

Cell lengths 5.7321, 5.7321, 5.7321 Å; angles 90.00, 90.00, 90.00 degrees
Space group Pm-3m (No. 221)
Symmetry-distinct sites (fractional):
Ba  0.0000  0.0000  0.5000 [3 per cell]
Co  0.0000  0.0000  0.0000 [1 per cell]
I  0.5000  0.5000  0.5000 [1 per cell]

Values from the calculation:
The value obtained for the formation energy without anion corrections is -0.117 eV per atom.



Entry 2:
This record from the Alexandria database describes BaCoI2N at its PBEsol-relaxed geometry. The functional is meta-GGA SCAN.

Cell lengths 6.5718, 6.5718, 4.6560 Å; angles 90.00, 90.00, 90.00 degrees
Space group P4/mmm (No. 123)
Symmetry-distinct sites (fractional):
Ba  0.0000  0.0000  0.0000 [1 per cell]
Co  0.5000  0.5000  0.5000 [1 per cell]
I  0.0000  0.5000  0.0000 [2 per cell]
N  0.0000  0.0000  0.5000 [1 per cell]

Values from the calculation:
The value obtained for the formation energy without anion corrections is 0.807 eV per atom.



Entry 3:
This record from the Alexandria database describes BaCoTe2I at its PBEsol-relaxed geometry. The functional is meta-GGA SCAN.

Cell lengths 6.4941, 6.4941, 6.4360 Å; angles 90.00, 90.00, 90.00 degrees
Space group P4/mmm (No. 123)
Symmetry-distinct sites (fractional):
Ba  0.0000  0.0000  0.0000 [1 per cell]
Co  0.5000  0.5000  0.5000 [1 per cell]
Te  0.0000  0.5000  0.0000 [2 per cell]
I  0.0000  0.0000  0.5000 [1 per cell]

Values from the calculation:
The value obtained for the formation energy without anion corrections is 0.571 eV per atom.



Entry 4:
This record from the Alexandria database describes BaCoIr at its PBEsol-relaxed geometry. The functional is meta-GGA SCAN.

Cell lengths 6.4163, 6.4163, 6.4163 Å; angles 90.00, 90.00, 90.00 degrees
Space group F-43m (No. 216)
Symmetry-distinct sites (fractional):
Ba  0.0000  0.0000  0.0000 [4 per cell]
Co  0.2500  0.2500  0.7500 [4 per cell]
Ir  0.0000  0.0000  0.5000 [4 per cell]

Values from the calculation:
The total DFT energy (no corrections) comes out at -501.14 eV for the cell shown.



Entry 5:
This record from the Alexandria database describes BaCoIr2 at its PBEsol-relaxed geometry. The functional is meta-GGA SCAN.

Cell lengths 3.9582, 3.9582, 4.5394 Å; angles 90.00, 90.00, 90.00 degrees
Space group P4/mmm (No. 123)
Symmetry-distinct sites (fractional):
Ba  0.0000  0.0000  0.0000 [1 per cell]
Co  0.5000  0.5000  0.0000 [1 per cell]
Ir  0.0000  0.5000  0.5000 [2 per cell]

Values from the calculation:
The total DFT energy (no corrections) comes out at -194.86 eV for the cell shown.



Entry 6:
This record from the Alexandria database describes BaCoIr2 at its PBEsol-relaxed geometry. The functional is meta-GGA SCAN.

Cell lengths 5.5460, 8.9151, 2.8902 Å; angles 90.00, 90.00, 90.00 degrees
Space group Cmmm (No. 65)
Symmetry-distinct sites (fractional):
Ba  0.0000  0.0000  0.0000 [2 per cell]
Co  0.0000  0.5000  0.0000 [2 per cell]
Ir  0.2500  0.2500  0.5000 [4 per cell]

Values from the calculation:
The total DFT energy (no corrections) comes out at -389.58 eV for the cell shown.